ThMgAgBi: optimized geometry, PBE.

a b c (Å): 7.4939 7.4939 7.4939
angles (deg): 90.00 90.00 90.00
Space group F-43m (No. 216)
Asymmetric unit:
Th 0.0000 0.0000 0.0000 x4
Mg 0.0000 0.0000 0.5000 x4
Ag 0.2500 0.2500 0.2500 x4
Bi 0.2500 0.2500 0.7500 x4

Crystal system   cubic
DFT formation energy   -131 meV per atom


Y2MgCd2: optimized geometry, PBE.

a b c (Å): 8.6735 8.6735 3.7168
angles (deg): 90.00 90.00 90.00
Space group P4/mbm (No. 127)
Asymmetric unit:
Y 0.1468 0.3532 0.0000 x4
Mg 0.0000 0.0000 0.0000 x2
Cd 0.1504 0.6504 0.5000 x4

Crystal system   tetragonal
Polymorph energy (0 for the lowest one)   103 kJ/mol of formula units
DFT formation energy   -39 meV per atom


ZnAgCl2: optimized geometry, PBE.

a b c (Å): 3.7556 6.8057 7.4803
angles (deg): 90.00 90.00 90.00
Space group Cmmm (No. 65)
Asymmetric unit:
Zn 0.0000 0.0000 0.0000 x2
Ag 0.0000 0.0000 0.5000 x2
Cl 0.0000 0.5000 0.2486 x4

Raw formation energy   -25.72 kJ/mol of atoms
Crystal system   orthorhombic
Polymorph energy (0 for the lowest one)   95 kJ/mol of formula units